Record 1
Crystalline NdHfSb3 at its relaxed geometry. Source: Alexandria via LeMat-Bulk, functional GGA-PBE.

The value obtained for the calculated volume is 137.6 Å³/f.u. Its calculated total energy is -122.38 eV per cell. The calculation puts the uncorrected formation energy at -701.2 meV/atom.

The structure belongs to space group Pbcm (No. 57); the cell edges are 13.498, 6.392 and 6.381 Å and the angles 90.00°, 90.00° and 90.00°. The inequivalent atoms are Nd at (0.181, 0.011, 0.250), Hf at (0.410, 0.750, 0.000), Sb at (0.003, 0.750, 0.000), Sb at (0.264, 0.509, 0.250) and Sb at (0.420, 0.123, 0.250).

Record 2
Crystalline Nd3HfSb4 at its relaxed geometry. Source: Alexandria via LeMat-Bulk, functional GGA-PBE.

The value obtained for the calculated volume is 242.8 Å³/f.u. Its calculated total energy is -97.03 eV per cell. The calculation puts the uncorrected formation energy at -971.1 meV/atom.

The structure belongs to space group Cmmm (No. 65); the cell edges are 8.839, 12.460 and 4.409 Å and the angles 90.00°, 90.00° and 90.00°. The inequivalent atoms are Nd at (0.000, 0.000, 0.000), Nd at (0.250, 0.250, 0.500), Hf at (0.000, 0.500, 0.000), Sb at (0.000, 0.260, 0.000) and Sb at (0.230, 0.500, 0.500).

Record 3
Crystalline NdHfSb at its relaxed geometry. Source: Alexandria via LeMat-Bulk, functional GGA-PBE.

The value obtained for the calculated volume is 80.1 Å³/f.u. Its calculated total energy is -42.07 eV per cell. The calculation puts the uncorrected formation energy at -729.7 meV/atom.

The structure belongs to space group P4/nmm (No. 129, origin choice 2); the cell edges are 4.364, 4.364 and 8.407 Å and the angles 90.00°, 90.00° and 90.00°. The inequivalent atoms are Nd at (0.250, 0.250, 0.148), Hf at (0.250, 0.750, 0.500) and Sb at (0.250, 0.250, 0.753).

Record 4
Crystalline Nd3HfSb5 at its relaxed geometry. Source: Alexandria via LeMat-Bulk, functional GGA-PBE.

The value obtained for the calculated volume is 248.6 Å³/f.u. Its calculated total energy is -106.41 eV per cell. The calculation puts the uncorrected formation energy at -926.4 meV/atom.

The structure belongs to space group P6_3/mcm (No. 193); the cell edges are 9.5744, 9.5744 and 6.2623 Å and the angles 90.00°, 90.00° and 120.00°. The inequivalent atoms are Nd at (0.0000, 0.3809, 0.2500), Hf at (0.0000, 0.0000, 0.0000), Sb at (0.0000, 0.2629, 0.7500) and Sb at (0.3333, 0.6667, 0.0000).

Record 5
Crystalline Nd2TmHfSb4 at its relaxed geometry. Source: Alexandria via LeMat-Bulk, functional GGA-PBE.

The value obtained for the calculated volume is 235.0 Å³/f.u. Its calculated total energy is -48.11 eV per cell. The calculation puts the uncorrected formation energy at -957.9 meV/atom.

The structure belongs to space group P2/m (No. 10); the cell edges are 7.552, 4.360 and 7.563 Å and the angles 90.00°, 109.32° and 90.00°. The inequivalent atoms are Nd at (0.000, 0.000, 0.000), Nd at (0.500, 0.500, 0.000), Tm at (0.000, 0.500, 0.500), Hf at (0.500, 0.000, 0.500), Sb at (0.251, 0.000, 0.732) and Sb at (0.264, 0.500, 0.273).

Record 6
Crystalline Nd2HfSc at its relaxed geometry. Source: Alexandria via LeMat-Bulk, functional GGA-PBE.

The value obtained for the calculated volume is 113.5 Å³/f.u. The calculation puts the energy relative to the lowest polymorph listed for this composition at 32 meV/atom. Its calculated total energy is -75.14 eV per cell. As for the energy relative to the elements: 0.77 eV per formula unit.

The structure belongs to space group R3m (No. 160, hexagonal axes); the cell edges are 3.4288, 3.4288 and 33.4363 Å and the angles 90.00°, 90.00° and 120.00°. The inequivalent atoms are Nd at (0.0000, 0.0000, 0.0000), Nd at (0.0000, 0.0000, 0.1712), Hf at (0.0000, 0.0000, 0.5850) and Sc at (0.0000, 0.0000, 0.7533).

Record 7
Crystalline Nd2HfSc at its relaxed geometry. Source: Alexandria via LeMat-Bulk, functional GGA-PBE.

The value obtained for the calculated volume is 113.5 Å³/f.u. The calculation puts the energy relative to the lowest polymorph listed for this composition at 0 meV/atom. Its calculated total energy is -25.17 eV per cell. As for the energy relative to the elements: 0.65 eV per formula unit.

The structure belongs to space group P4/mmm (No. 123); the cell edges are 3.447, 3.447 and 9.556 Å and the angles 90.00°, 90.00° and 90.00°. The inequivalent atoms are Nd at (0.000, 0.000, 0.243), Hf at (0.500, 0.500, 0.000) and Sc at (0.500, 0.500, 0.500).

Record 8
Crystalline NdHfSc2 at its relaxed geometry. Source: Alexandria via LeMat-Bulk, functional GGA-PBE.

The value obtained for the calculated volume is 105.4 Å³/f.u. The calculation puts the energy relative to the lowest polymorph listed for this composition at 55 meV/atom. Its calculated total energy is -26.80 eV per cell. As for the energy relative to the elements: 0.59 eV per formula unit.

The structure belongs to space group P4/mmm (No. 123); the cell edges are 3.798, 3.798 and 7.308 Å and the angles 90.00°, 90.00° and 90.00°. The inequivalent atoms are Nd at (0.000, 0.000, 0.000), Hf at (0.000, 0.000, 0.500) and Sc at (0.500, 0.500, 0.287).